# 1
First-principles (GGA-PBE) data for an optimized crystal structure of Sc4InIr, as listed in Alexandria via LeMat-Bulk.

The structure in POSCAR format:
```
Sc4InIr
1.0
4.597 0.000 0.000
0.000 4.597 0.000
0.000 0.000 6.953
Sc In Ir
4 1 1
Cartesian
0.000 2.299 1.534
0.000 2.299 5.418
2.299 0.000 1.534
2.299 0.000 5.418
0.000 0.000 3.476
2.299 2.299 0.000
```

Values from the calculation:
DFT total energy = -6.536 eV/atom
space-group type = P4/mmm

---

# 2
First-principles (GGA-PBE) data for an optimized crystal structure of MnBeRh2, as listed in Alexandria via LeMat-Bulk.

The structure in POSCAR format:
```
MnBeRh2
1.0
4.062 0.000 0.000
0.000 4.062 0.000
0.000 0.000 2.998
Mn Be Rh
1 1 2
Cartesian
0.000 0.000 0.000
2.031 2.031 0.000
0.000 2.031 1.499
2.031 0.000 1.499
```

Values from the calculation:
DFT total energy = -7.260 eV/atom
space-group type = P4/mmm